The following is a GGA+U calculation of crystalline Sr2AcMoO8 at its relaxed geometry, from the Alexandria database.

Its mass density is 5.7 g/cm3. The value obtained for the total moment is 3.0 μB/cell. The total energy comes out at -76.438 eV/cell.

abc: 5.619 5.619 6.687
angles: 90.00 90.00 120.00
Fractional coordinates of all 12 atoms:
Sr 0.333 0.667 0.378
Sr 0.667 0.333 0.622
Ac 0.000 0.000 0.000
Mo 0.000 0.000 0.500
O 0.159 0.317 0.674
O 0.159 0.841 0.674
O 0.317 0.159 0.326
O 0.333 0.667 0.019
O 0.667 0.333 0.981
O 0.683 0.841 0.674
O 0.841 0.159 0.326
O 0.841 0.683 0.326